Below is a geometry-optimized RbBa2NpS6 structure, with properties calculated at the PBE-GGA level.

a b c (Å): 7.373 8.071 12.477
angles (deg): 90.00 123.06 90.00
Space group P2_1/c (No. 14)
Asymmetric unit:
Rb: 0.000 0.000 0.000 x2
Ba: 0.206 0.075 0.736 x4
Np: 0.500 0.000 0.500 x2
S: 0.179 0.164 0.455 x4
S: 0.266 0.744 0.411 x4
S: 0.420 0.071 0.284 x4

Properties
formation energy from raw total energies = -1381 meV per atom